La3CeHg4 | PBE | optimized geometry

- Energy of formation: -3.53 eV per formula unit
- D(E_F): 16.42 states/eV/f.u.

Cell: 3.879 3.879 15.715 Å, 90.00 90.00 90.00°
Space group P4/mmm (No. 123)
Symmetry-distinct sites (fractional):
La 0.000 0.000 0.000 x1
La 0.000 0.000 0.252 x2
Ce 0.000 0.000 0.500 x1
Hg 0.500 0.500 0.126 x2
Hg 0.500 0.500 0.380 x2